VASP calculation (PBE) on BaFe2Re after structural relaxation. Values from VASP.

Results
offset from the most stable computed form	356	meV per atom
DFT total energy	-27.99	eV/f.u.
V	87.7	Å³/cell
total magnetization	0.184	μB per atom
space group	Imm2 (44)
formation energy from the elements	0.827	eV per atom
N(E_F)	4.9	states/eV per cell

The structure in Quantum ESPRESSO input format:
```
&SYSTEM
  ibrav = 0, nat = 4, ntyp = 3
/
ATOMIC_SPECIES
Ba 137.33 Ba.upf
Fe 55.84 Fe.upf
Re 186.21 Re.upf
CELL_PARAMETERS angstrom
6.9098 1.0028 -0.6478
4.4461 5.3836 0.6478
-5.3369 -3.7995 2.5002
ATOMIC_POSITIONS crystal
Ba 0.7050 0.2050 0.5000
Fe 0.3594 0.8594 0.5000
Fe 0.9706 0.9706 0.0000
Re 0.4649 0.4649 0.0000
```